Cs2HgAu after structural relaxation. Source: Alexandria, functional GGA-PBE.

Values from the calculation:
- calculated formation energy (kcal/mol of atoms) = -3.47
- DOS(E_F) (states/eV/atom) = 0.920
- calculated volume (Å³ per cell) = 841.1

Lattice parameters (Å, degrees): 9.9947 9.9947 8.4195 90.00 90.00 90.00
Closest atoms and distances in Å follow each position.
Space group I-42d (No. 122)
One atom of each set of equivalent atoms:
Cs 0.2201 0.2500 0.1250  2 Au 3.49, 2 Hg 3.90
Hg 0.0000 0.0000 0.5000  4 Cs 3.90, 2 Au 4.21
Au 0.0000 0.0000 0.0000  4 Cs 3.49

Cs3Hg8Au after structural relaxation. Source: Alexandria, functional GGA-PBE.

Values from the calculation:
- calculated formation energy (kcal/mol of atoms) = -4.01
- DOS(E_F) (states/eV/atom) = 0.442
- calculated volume (Å³ per cell) = 1310.7

Lattice parameters (Å, degrees): 6.7221 6.7221 33.4931 90.00 90.00 120.00
Closest atoms and distances in Å follow each position.
Space group R3m (No. 160, hexagonal axes)
One atom of each set of equivalent atoms:
Cs 0.0000 0.0000 0.0000  12 Hg 3.84-4.06, 3 Au 3.88
Cs 0.0000 0.0000 0.1291  12 Hg 3.93-4.02, 4 Cs 4.23-4.32
Cs 0.0000 0.0000 0.5128  12 Hg 3.84-4.18, 3 Cs 4.23
Hg 0.0000 0.0000 0.3161  6 Hg 3.32-3.43
Hg 0.0000 0.0000 0.8186  6 Hg 3.41-3.44
Hg 0.0078 0.5039 0.0681  1 Au 3.00, 2 Hg 3.28
Hg 0.1696 0.3393 0.9015  6 Hg 3.30-3.42
Au 0.0000 0.0000 0.6675  3 Hg 3.00

Cs8HgAu5 after structural relaxation. Source: Alexandria, functional GGA-PBE.

Values from the calculation:
- calculated formation energy (kcal/mol of atoms) = -6.04
- DOS(E_F) (states/eV/atom) = 0.965
- calculated volume (Å³ per cell) = 1367.0

Lattice parameters (Å, degrees): 11.1037 11.1037 11.0870 90.00 90.00 90.00
Closest atoms and distances in Å follow each position.
Space group I-4 (No. 82)
One atom of each set of equivalent atoms:
Cs 0.0707 0.3160 0.4394  5 Au 3.63-4.04
Cs 0.0750 0.1694 0.8063  5 Au 3.67-3.99, 1 Hg 3.82
Hg 0.0000 0.5000 0.7500  8 Cs 3.82-4.08
Au 0.0000 0.0000 0.5000  8 Cs 3.66-3.97
Au 0.1262 0.2490 0.1234  8 Cs 3.63-4.04

CsHg2Au after structural relaxation. Source: Alexandria, functional GGA-PBE.

Values from the calculation:
- ΔE to the lowest computed polymorph (meV per atom) = 28
- calculated formation energy (kcal/mol of atoms) = -5.33
- DOS(E_F) (states/eV/atom) = 0.249
- calculated volume (Å³ per cell) = 429.1

Lattice parameters (Å, degrees): 5.0519 5.0519 19.4134 90.00 90.00 120.00
Closest atoms and distances in Å follow each position.
Space group R3m (No. 160, hexagonal axes)
One atom of each set of equivalent atoms:
Cs 0.0000 0.0000 0.0000  4 Au 3.79-3.96, 7 Hg 3.84-3.90
Hg 0.0000 0.0000 0.5380  3 Au 2.92, 3 Hg 3.23
Hg 0.0000 0.0000 0.7999  3 Au 3.16, 3 Hg 3.23
Au 0.0000 0.0000 0.1954  6 Hg 2.92-3.16

Cs7Hg2Au after structural relaxation. Source: Alexandria, functional GGA-PBE.

Values from the calculation:
- calculated formation energy (kcal/mol of atoms) = -3.29
- DOS(E_F) (states/eV/atom) = 0.597
- calculated volume (Å³ per cell) = 2566.4

Lattice parameters (Å, degrees): 21.2808 10.1487 13.3984 90.00 117.51 90.00
Closest atoms and distances in Å follow each position.
Space group C2/c (No. 15)
One atom of each set of equivalent atoms:
Cs 0.0000 0.1179 0.2500  1 Au 3.87, 2 Hg 4.16
Cs 0.0903 0.3105 0.6085  1 Au 3.79, 1 Hg 4.16
Cs 0.1402 0.2250 0.0034  3 Hg 4.13-4.32, 1 Au 4.35, 1 Cs 4.50
Cs 0.1908 0.3883 0.3592  1 Au 3.80, 3 Hg 3.97-4.08
Hg 0.2023 0.0046 0.3104  9 Cs 3.97-4.45
Au 0.0000 0.4997 0.2500  5 Cs 3.79-3.87

Cs6Hg10Au after structural relaxation. Source: Alexandria, functional GGA-PBE.

Values from the calculation:
- calculated formation energy (kcal/mol of atoms) = -4.91
- DOS(E_F) (states/eV/atom) = 0.675
- calculated volume (Å³ per cell) = 758.5

Lattice parameters (Å, degrees): 11.5401 11.5401 6.5768 90.00 90.00 120.00
Closest atoms and distances in Å follow each position.
Space group P-31m (No. 162)
One atom of each set of equivalent atoms:
Cs 0.0000 0.3676 0.2774  8 Hg 3.72-4.09
Hg 0.0000 0.1859 0.8094  1 Au 2.96, 2 Hg 3.30
Hg 0.3333 0.6667 0.0000  2 Hg 3.29
Hg 0.3333 0.6667 0.5000  2 Hg 3.29
Au 0.0000 0.0000 0.5000  6 Hg 2.96

CsHg2Au after structural relaxation. Source: Alexandria, functional GGA-PBE.

Values from the calculation:
- ΔE to the lowest computed polymorph (meV per atom) = 83
- calculated formation energy (kcal/mol of atoms) = -4.07
- DOS(E_F) (states/eV/atom) = 0.099
- calculated volume (Å³ per cell) = 676.5

Lattice parameters (Å, degrees): 5.9522 5.9522 19.0953 90.00 90.00 90.00
Closest atoms and distances in Å follow each position.
Space group I-42d (No. 122)
One atom of each set of equivalent atoms:
Cs 0.0000 0.0000 0.0000  4 Hg 3.84, 4 Au 4.21
Hg 0.0613 0.2500 0.6250  2 Au 2.84, 2 Hg 3.06
Au 0.0000 0.0000 0.5000  4 Hg 2.84

Cs5Hg5Au2 after structural relaxation. Source: Alexandria, functional GGA-PBE.

Values from the calculation:
- calculated formation energy (kcal/mol of atoms) = -6.41
- DOS(E_F) (states/eV/atom) = 0.497
- calculated volume (Å³ per cell) = 1077.5

Lattice parameters (Å, degrees): 19.1620 5.0768 14.2878 90.00 129.17 90.00
Closest atoms and distances in Å follow each position.
Space group C2/m (No. 12)
One atom of each set of equivalent atoms:
Cs 0.0000 0.0000 0.0000  4 Au 3.83, 6 Hg 3.89-3.98
Cs 0.1177 0.5000 0.8181  5 Hg 3.76-4.05, 1 Au 3.85
Cs 0.1941 0.5000 0.5789  3 Au 3.80-3.81, 7 Hg 3.81-4.03
Hg 0.0000 0.0000 0.5000  2 Hg 3.54
Hg 0.0684 0.0000 0.3210  2 Au 3.00
Hg 0.2056 0.5000 0.1544  1 Au 2.93
Au 0.1145 0.5000 0.2586  3 Hg 2.93-3.00

Cs6HgAu5 after structural relaxation. Source: Alexandria, functional GGA-PBE.

Values from the calculation:
- calculated formation energy (kcal/mol of atoms) = -6.15
- DOS(E_F) (states/eV/atom) = 0.364
- calculated volume (Å³ per cell) = 1164.8

Lattice parameters (Å, degrees): 9.4305 13.7769 9.2215 90.00 103.53 90.00
Closest atoms and distances in Å follow each position.
Space group C2/m (No. 12)
One atom of each set of equivalent atoms:
Cs 0.2087 0.0000 0.2240  5 Au 3.56-3.68, 1 Hg 3.80
Cs 0.2271 0.1816 0.7186  5 Au 3.59-3.86
Hg 0.0000 0.5000 0.0000  6 Cs 3.80-4.06, 2 Au 4.19
Au 0.0000 0.0000 0.5000  6 Cs 3.56-3.59
Au 0.0000 0.1958 0.0000  6 Cs 3.62-3.74
Au 0.0000 0.3903 0.5000  1 Au 3.02

Cs2HgAu after structural relaxation. Source: Alexandria, functional GGA-PBE.

Values from the calculation:
- calculated formation energy (kcal/mol of atoms) = 2.71
- DOS(E_F) (states/eV/atom) = 0.444
- calculated volume (Å³ per cell) = 661.9

Lattice parameters (Å, degrees): 5.5881 7.9473 14.9043 90.00 90.00 90.00
Closest atoms and distances in Å follow each position.
Space group Immm (No. 71)
One atom of each set of equivalent atoms:
Cs 0.0000 0.0000 0.2210  1 Au 3.29
Hg 0.0000 0.0000 0.5000  2 Cs 4.16
Au 0.0000 0.0000 0.0000  2 Cs 3.29

CsHg4Au2 after structural relaxation. Source: Alexandria, functional GGA-PBE.

Values from the calculation:
- ΔE to the lowest computed polymorph (meV per atom) = 0
- calculated formation energy (kcal/mol of atoms) = -3.16
- DOS(E_F) (states/eV/atom) = 0.145
- calculated volume (Å³ per cell) = 417.2

Lattice parameters (Å, degrees): 5.2116 15.5580 5.1450 90.00 90.00 90.00
Closest atoms and distances in Å follow each position.
Space group Cmmm (No. 65)
One atom of each set of equivalent atoms:
Cs 0.0000 0.0000 0.0000  8 Hg 3.80-3.88, 8 Au 3.91
Hg 0.0000 0.1799 0.5000  2 Au 2.97, 2 Hg 3.32
Hg 0.0000 0.3152 0.0000  2 Au 2.98, 4 Hg 3.30-3.32
Au 0.0000 0.4117 0.5000  1 Au 2.75, 4 Hg 2.97-2.98

Cs2Hg8Au after structural relaxation. Source: Alexandria, functional GGA-PBE.

Values from the calculation:
- ΔE to the lowest computed polymorph (meV per atom) = 0
- calculated formation energy (kcal/mol of atoms) = -3.92
- DOS(E_F) (states/eV/atom) = 0.309
- calculated volume (Å³ per cell) = 781.7

Lattice parameters (Å, degrees): 15.2294 7.1830 7.2166 90.00 98.02 90.00
Closest atoms and distances in Å follow each position.
Space group C2/m (No. 12)
One atom of each set of equivalent atoms:
Cs 0.1754 0.0000 0.3513  1 Au 3.42
Hg 0.0791 0.5000 0.3890  6 Hg 3.07-3.40
Hg 0.0959 0.2609 0.7998  1 Au 2.88
Hg 0.2219 0.5000 0.1119  5 Hg 3.15-3.34
Au 0.0000 0.0000 0.0000  4 Hg 2.88